(1)
Here is an optimized crystal structure of La3Sn7Pd4 from the Alexandria database. Energies are from PBE.

It has space group C2/m (No. 12), with a = 17.379 Å, b = 4.589 Å, c = 10.260 Å, α = 90.00°, β = 124.86° and γ = 90.00°. The inequivalent atoms are La at (0.000, 0.000, 0.000), La at (0.176, 0.500, 0.679), Sn at (0.000, 0.000, 0.500), Sn at (0.006, 0.500, 0.737), Sn at (0.169, 0.000, 0.433), Sn at (0.186, 0.500, 0.052), Pd at (0.128, 0.000, 0.861) and Pd at (0.153, 0.500, 0.279).

Its energy of formation from the pure elements is -0.76 eV per atom. The crystal system is monoclinic. Its total magnetic moment is 0.0 μB per formula unit. As for the volume: 23.98 A^3/atom.

(2)
Here is an optimized crystal structure of La2SnPd6 from the Alexandria database. Energies are from PBE.

It has space group C2/m (No. 12), with a = 10.063 Å, b = 5.828 Å, c = 6.443 Å, α = 90.00°, β = 103.27° and γ = 90.00°. The inequivalent atoms are La at (0.139, 0.000, 0.318), Sn at (0.000, 0.500, 0.500), Pd at (0.123, 0.500, 0.180) and Pd at (0.137, 0.238, 0.822).

Its energy of formation from the pure elements is -0.76 eV per atom. The crystal system is monoclinic. Its total magnetic moment is 0.0 μB per formula unit. As for the volume: 20.43 A^3/atom.

(3)
Here is an optimized crystal structure of La3Sn4Pd2 from the Alexandria database. Energies are from PBE.

It has space group C2/m (No. 12), with a = 11.611 Å, b = 4.758 Å, c = 9.078 Å, α = 90.00°, β = 106.33° and γ = 90.00°. The inequivalent atoms are La at (0.000, 0.000, 0.000), La at (0.131, 0.500, 0.689), Sn at (0.085, 0.000, 0.397), Sn at (0.208, 0.500, 0.074) and Pd at (0.191, 0.500, 0.369).

Its energy of formation from the pure elements is -0.84 eV per atom. The crystal system is monoclinic. Its total magnetic moment is 0.0 μB per formula unit. As for the volume: 26.74 A^3/atom.

(4)
Here is an optimized crystal structure of LaSn3Pd from the Alexandria database. Energies are from PBE.

It has space group Pm-3m (No. 221), with a = 5.238 Å, b = 5.238 Å, c = 5.238 Å, α = 90.00°, β = 90.00° and γ = 90.00°. The inequivalent atoms are La at (0.000, 0.000, 0.000), Sn at (0.000, 0.500, 0.500) and Pd at (0.500, 0.500, 0.500).

Its energy of formation from the pure elements is -0.26 eV per atom. The crystal system is cubic. Its total magnetic moment is 0.0 μB per formula unit. As for the volume: 28.75 A^3/atom.

(5)
Here is an optimized crystal structure of La3Sn2Pd6 from the Alexandria database. Energies are from PBE.

It has space group Im-3m (No. 229), with a = 9.876 Å, b = 9.876 Å, c = 9.876 Å, α = 90.00°, β = 90.00° and γ = 90.00°. The inequivalent atoms are La at (0.000, 0.000, 0.290), Sn at (0.250, 0.250, 0.250) and Pd at (0.000, 0.341, 0.341).

Its energy of formation from the pure elements is -0.82 eV per atom. The crystal system is cubic. Its total magnetic moment is 0.0 μB per formula unit. As for the volume: 21.89 A^3/atom.

(6)
Here is an optimized crystal structure of La3SnPd from the Alexandria database. Energies are from PBE.

It has space group Pm-3m (No. 221), with a = 5.664 Å, b = 5.664 Å, c = 5.664 Å, α = 90.00°, β = 90.00° and γ = 90.00°. The inequivalent atoms are La at (0.000, 0.000, 0.500), Sn at (0.500, 0.500, 0.500) and Pd at (0.000, 0.000, 0.000).

Its energy of formation from the pure elements is -0.40 eV per atom. The crystal system is cubic. Its total magnetic moment is 0.0 μB per formula unit. As for the volume: 36.35 A^3/atom.

Q: Which value of energy of formation from the pure elements does entry 3 give?
A: -0.84 eV per atom